# Li3Ni5OF11, optimized geometry, DFT GGA+U
# Energy above the lowest structure with this stoichiometry: 39 meV/atom
# ρ: 3.9 Mg/m³
# Magnetic moment: 10.1 Bohr magnetons per cell
data_Li3Ni5OF11
_chemical_formula_sum 'Li3 Ni5 O1 F11'
_cell_length_a 5.358
_cell_length_b 5.468
_cell_length_c 9.080
_cell_angle_alpha 97.36
_cell_angle_beta 100.11
_cell_angle_gamma 116.04
_symmetry_space_group_name_H-M 'P 1'
_symmetry_Int_Tables_number 1
loop_
_symmetry_equiv_pos_as_xyz
'x,y,z'
loop_
_atom_site_label
_atom_site_type_symbol
_atom_site_fract_x
_atom_site_fract_y
_atom_site_fract_z
Li1 Li 0.000 0.000 0.000
Li2 Li 0.169 0.226 0.367
Li3 Li 0.680 0.174 0.526
Ni1 Ni 0.037 0.600 0.206
Ni2 Ni 0.386 0.457 0.709
Ni3 Ni 0.435 0.996 0.865
Ni4 Ni 0.473 0.571 0.046
Ni5 Ni 0.946 0.741 0.490
O1 O 0.620 0.764 0.891
F1 F 0.021 0.126 0.556
F2 F 0.139 0.675 0.679
F3 F 0.196 0.217 0.869
F4 F 0.221 0.350 0.176
F5 F 0.226 0.795 0.051
F6 F 0.302 0.913 0.397
F7 F 0.545 0.536 0.517
F8 F 0.585 0.218 0.715
F9 F 0.685 0.332 0.046
F10 F 0.811 0.813 0.241
F11 F 0.882 0.386 0.365